Zr3TaIn | PBEsol | optimized geometry

a = 5.0418 Å, b = 5.0418 Å, c = 5.0418 Å
α = 90.00°, β = 90.00°, γ = 90.00°
Last column: nearest neighbours and their distance in Å.
Atoms (fractional coordinates):
1 Zr 0.0000 0.0000 0.5000  2 Ta 2.52
2 Zr 0.0000 0.5000 0.0000  2 Ta 2.52
3 Zr 0.5000 0.0000 0.0000  2 Ta 2.52
4 Ta 0.0000 0.0000 0.0000  6 Zr 2.52
5 In 0.5000 0.5000 0.5000  12 Zr 3.57

## Properties
Its formation enthalpy at 0 K is 0.817 eV/atom. As for the space group: Pm-3m, No. 221. The value obtained for the mass density is 7.4 Mg/m³. Its total magnetization is 0.00 μB/f.u.

=====

CsBi4Te6 | PBEsol | optimized geometry

a = 25.8660 Å, b = 25.8660 Å, c = 14.3658 Å
α = 101.32°, β = 101.32°, γ = 9.71°
Last column: nearest neighbours and their distance in Å.
Atoms (fractional coordinates):
1 Cs 0.0538 0.0538 0.0106  10 Te 3.93-4.16, 2 Cs 4.38
2 Cs 0.3133 0.3133 0.9847  9 Te 3.75-4.07
3 Cs 0.6867 0.6867 0.0153  9 Te 3.75-4.07
4 Cs 0.9462 0.9462 0.9894  10 Te 3.93-4.16, 2 Cs 4.38
5 Bi 0.0153 0.0153 0.2927  5 Te 3.02-3.37, 1 Bi 3.22
6 Bi 0.0400 0.0400 0.6355  4 Te 3.04-3.27, 1 Bi 3.22
7 Bi 0.1365 0.1365 0.2509  5 Te 2.99-3.33
8 Bi 0.1631 0.1631 0.5913  6 Te 3.05-3.24
9 Bi 0.2642 0.2642 0.2409  4 Te 2.99-3.26
10 Bi 0.2873 0.2873 0.5873  6 Te 3.09-3.20
11 Bi 0.3851 0.3851 0.2218  6 Te 2.98-3.30
12 Bi 0.4104 0.4104 0.5607  6 Te 3.02-3.32
13 Bi 0.5896 0.5896 0.4393  6 Te 3.02-3.32
14 Bi 0.6149 0.6149 0.7782  6 Te 2.98-3.30
15 Bi 0.7127 0.7127 0.4127  6 Te 3.09-3.20
16 Bi 0.7358 0.7358 0.7591  4 Te 2.99-3.26
17 Bi 0.8369 0.8369 0.4087  6 Te 3.05-3.24
18 Bi 0.8635 0.8635 0.7491  5 Te 2.99-3.33
19 Bi 0.9600 0.9600 0.3645  4 Te 3.04-3.27, 1 Bi 3.22
20 Bi 0.9847 0.9847 0.7073  5 Te 3.02-3.37, 1 Bi 3.22
21 Te 0.0803 0.0803 0.2868  4 Bi 3.04-3.37
22 Te 0.1046 0.1046 0.6026  5 Bi 3.05-3.30
23 Te 0.1236 0.1236 0.9233  2 Bi 3.00
24 Te 0.2022 0.2022 0.2584  4 Bi 3.09-3.37
25 Te 0.2252 0.2252 0.5780  6 Bi 3.18-3.36
26 Te 0.2396 0.2396 0.9033  2 Bi 2.99
27 Te 0.3242 0.3242 0.2575  4 Bi 3.05-3.28
28 Te 0.3467 0.3467 0.5730  6 Bi 3.11-3.33
29 Te 0.3775 0.3775 0.8918  2 Bi 2.99
30 Te 0.4427 0.4427 0.2187  3 Bi 2.98-3.04
31 Te 0.4673 0.4673 0.5366  5 Bi 3.02-3.28
32 Te 0.4927 0.4927 0.8552  2 Bi 3.02
33 Te 0.5073 0.5073 0.1448  2 Bi 3.02
34 Te 0.5327 0.5327 0.4634  5 Bi 3.02-3.28
35 Te 0.5573 0.5573 0.7813  3 Bi 2.98-3.04
36 Te 0.6225 0.6225 0.1082  2 Bi 2.99
37 Te 0.6533 0.6533 0.4270  6 Bi 3.11-3.33
38 Te 0.6758 0.6758 0.7425  4 Bi 3.05-3.28
39 Te 0.7604 0.7604 0.0967  2 Bi 2.99
40 Te 0.7748 0.7748 0.4220  6 Bi 3.18-3.36
41 Te 0.7978 0.7978 0.7416  4 Bi 3.09-3.37
42 Te 0.8764 0.8764 0.0767  2 Bi 3.00
43 Te 0.8954 0.8954 0.3974  5 Bi 3.05-3.30
44 Te 0.9197 0.9197 0.7132  4 Bi 3.04-3.37

## Properties
As for the space group: C2/m, No. 12. The value obtained for the mass density is 7.2 Mg/m³. Its uncorrected formation energy is -0.359 eV per atom. Its total magnetization is 0.00 μB/f.u.

=====

LiZrTe2N | PBEsol | optimized geometry

a = 5.7964 Å, b = 5.7964 Å, c = 3.9268 Å
α = 90.00°, β = 90.00°, γ = 90.00°
Last column: nearest neighbours and their distance in Å.
Atoms (fractional coordinates):
1 Li 0.0000 0.0000 0.0000  8 Te 3.50
2 Zr 0.5000 0.5000 0.5000  2 N 1.96
3 Te 0.0000 0.5000 0.5000  2 Zr 2.90
4 Te 0.5000 0.0000 0.5000  2 Zr 2.90
5 N 0.5000 0.5000 0.0000  2 Zr 1.96

## Properties
As for the space group: P4/mmm, No. 123. The value obtained for the mass density is 4.6 Mg/m³. Its uncorrected formation energy is -0.263 eV per atom. Its total magnetization is 0.00 μB/f.u.

=====

TmMgPd2 | PBEsol | optimized geometry

a = 4.6615 Å, b = 4.6615 Å, c = 4.6615 Å
α = 60.00°, β = 60.00°, γ = 60.00°
Last column: nearest neighbours and their distance in Å.
Atoms (fractional coordinates):
1 Tm 0.0000 0.0000 0.0000  8 Pd 2.85
2 Mg 0.5000 0.5000 0.5000  8 Pd 2.85
3 Pd 0.2500 0.2500 0.2500  4 Mg 2.85, 4 Tm 2.85
4 Pd 0.7500 0.7500 0.7500  4 Mg 2.85, 4 Tm 2.85

## Properties
Its formation enthalpy at 0 K is -0.818 eV/atom. As for the space group: Fm-3m, No. 225. The value obtained for the mass density is 9.4 Mg/m³. Its total magnetization is 0.00 μB/f.u.

=====

LiAlAg2 | PBEsol | optimized geometry

a = 4.4492 Å, b = 4.4492 Å, c = 4.4492 Å
α = 60.00°, β = 60.00°, γ = 60.00°
Last column: nearest neighbours and their distance in Å.
Atoms (fractional coordinates):
1 Li 0.0000 0.0000 0.0000  4 Al 2.72, 4 Ag 2.72
2 Al 0.7500 0.7500 0.7500  4 Li 2.72, 4 Ag 2.72
3 Ag 0.2500 0.2500 0.2500  4 Li 2.72, 4 Ag 2.72
4 Ag 0.5000 0.5000 0.5000  4 Al 2.72, 4 Ag 2.72

## Properties
Its formation enthalpy at 0 K is -0.171 eV/atom. As for the space group: F-43m, No. 216. The value obtained for the mass density is 6.7 Mg/m³. Its total magnetization is 0.00 μB/f.u.

=====

MnPSe2 | PBEsol | optimized geometry

a = 3.5047 Å, b = 3.5420 Å, c = 6.8247 Å
α = 90.00°, β = 90.00°, γ = 90.00°
Last column: nearest neighbours and their distance in Å.
Atoms (fractional coordinates):
1 Mn 0.0000 0.0000 0.0000  4 Se 2.49
2 P 0.5000 0.0000 0.5000  4 Se 2.49
3 Se 0.0000 0.5000 0.5000  4 P 2.49
4 Se 0.5000 0.5000 0.0000  4 Mn 2.49

## Properties
As for the space group: Pmmm, No. 47. The value obtained for the mass density is 4.8 Mg/m³. Its uncorrected formation energy is 0.262 eV per atom. Its total magnetization is 4.49 μB/f.u.

=====

| no. | calculated volume (Å³ per atom) |
| --- | --- |
| 1 | 25.6 |
| 2 | 36.1 |
| 3 | 26.4 |
| 4 | 17.9 |
| 5 | 15.6 |
| 6 | 21.2 |